(1)
# PBE Ti2AgPd6, relaxed
# Spin magnetization in μB per cell: 0.00
# Distance to the lowest polymorph of the same formula in eV per atom: 0.123
data_Ti2AgPd6
_cell_length_a 14.075
_cell_length_b 7.554
_cell_length_c 2.807
_cell_angle_alpha 90.00
_cell_angle_beta 101.28
_cell_angle_gamma 90.00
_symmetry_space_group_name_H-M 'C 1 2/m 1'
_symmetry_Int_Tables_number 12
_symmetry_space_group_name_Hall '-C 2y'
loop_
_atom_site_label
_atom_site_type_symbol
_atom_site_fract_x
_atom_site_fract_y
_atom_site_fract_z
_atom_site_occupancy
Ti1 Ti 0.164 0.000 0.163 1
Ag1 Ag 0.000 0.500 0.500 1
Pd1 Pd 0.000 0.179 0.000 1
Pd2 Pd 0.169 0.307 0.669 1

=====

(2)
# PBE TiAgPd2, relaxed
# Spin magnetization in μB per cell: 0.00
# Distance to the lowest polymorph of the same formula in eV per atom: 0.080
data_TiAgPd2
_cell_length_a 2.8814
_cell_length_b 2.8814
_cell_length_c 27.0736
_cell_angle_alpha 90.00
_cell_angle_beta 90.00
_cell_angle_gamma 120.00
_symmetry_space_group_name_H-M 'R -3 m'
_symmetry_Int_Tables_number 166
_symmetry_space_group_name_Hall '-R 3 2"'
loop_
_atom_site_label
_atom_site_type_symbol
_atom_site_fract_x
_atom_site_fract_y
_atom_site_fract_z
_atom_site_occupancy
Ti1 Ti 0.0000 0.0000 0.0000 1
Ag1 Ag 0.0000 0.0000 0.5000 1
Pd1 Pd 0.0000 0.0000 0.2557 1

=====

(3)
# PBE Ti3AgPd6, relaxed
# Total DFT energy (no corrections) in eV/atom: -6.10
# Spin magnetization in μB per cell: 0.00
data_Ti3AgPd6
_cell_length_a 9.633
_cell_length_b 13.353
_cell_length_c 5.088
_cell_angle_alpha 90.00
_cell_angle_beta 90.00
_cell_angle_gamma 90.00
_symmetry_space_group_name_H-M 'C m c 21'
_symmetry_Int_Tables_number 36
_symmetry_space_group_name_Hall 'C 2c -2'
loop_
_atom_site_label
_atom_site_type_symbol
_atom_site_fract_x
_atom_site_fract_y
_atom_site_fract_z
_atom_site_occupancy
Ti1 Ti 0.000 0.120 0.000 1
Ti2 Ti 0.186 0.401 0.334 1
Ag1 Ag 0.000 0.319 0.999 1
Pd1 Pd 0.000 0.234 0.499 1
Pd2 Pd 0.000 0.465 0.659 1
Pd3 Pd 0.143 0.045 0.479 1
Pd4 Pd 0.243 0.209 0.221 1

=====

(4)
# PBE TiAg2Pd, relaxed
# Spin magnetization in μB per cell: 0.04
# Distance to the lowest polymorph of the same formula in eV per atom: 0.165
data_TiAg2Pd
_cell_length_a 6.451
_cell_length_b 6.451
_cell_length_c 6.451
_cell_angle_alpha 90.00
_cell_angle_beta 90.00
_cell_angle_gamma 90.00
_symmetry_space_group_name_H-M 'F m -3 m'
_symmetry_Int_Tables_number 225
_symmetry_space_group_name_Hall '-F 4 2 3'
loop_
_atom_site_label
_atom_site_type_symbol
_atom_site_fract_x
_atom_site_fract_y
_atom_site_fract_z
_atom_site_occupancy
Ti1 Ti 0.000 0.000 0.000 1
Ag1 Ag 0.250 0.250 0.250 1
Pd1 Pd 0.000 0.000 0.500 1